1.
This record from Alexandria describes crystalline CsFeHg3 at its relaxed geometry. The functional is PBE.

```
CsFeHg3
1.0
-1.122 -6.798 -1.857
4.491 -2.139 5.116
-5.431 -0.364 4.615
Fe Hg Cs
1 3 1
Direct
0.500 0.500 0.500
0.500 0.000 0.000
0.000 0.500 0.000
0.000 0.000 0.500
0.000 0.000 0.000
```

Output
Formation enthalpy at 0 K: 0.965 eV/atom
Total energy: -1.079 eV per atom
N(E_F): 13.01 states/eV/f.u.
Energy above the lowest structure with this stoichiometry: 850 meV per atom
Symmetry: Pm-3m

=====

2.
This record from Alexandria describes crystalline Ac4MgPb8 at its relaxed geometry. The functional is PBE.

```
Ac4MgPb8
1.0
-0.948 -3.424 3.152
4.442 -1.956 -0.788
7.110 10.635 13.691
Mg Pb Ac
1 8 4
Direct
0.000 0.000 0.320
0.000 0.000 0.469
0.500 0.500 0.754
0.500 0.000 0.583
0.500 0.000 0.229
0.500 0.500 0.046
0.000 0.000 0.747
0.000 0.500 0.931
0.000 0.500 0.231
0.500 0.500 0.401
0.500 0.000 0.894
0.000 0.500 0.607
0.000 0.000 0.089
```

Output
Formation enthalpy at 0 K: -0.413 eV/atom
Total energy: -4.082 eV per atom
N(E_F): 6.21 states/eV/f.u.
Symmetry: Pmm2

=====

3.
This record from Alexandria describes crystalline NdH2I at its relaxed geometry. The functional is PBE.

```
NdH2I
1.0
3.980 0.000 0.000
0.000 6.210 0.000
0.000 0.000 5.787
Nd H I
2 4 2
Direct
0.750 0.250 0.628
0.250 0.750 0.372
0.250 0.445 0.590
0.750 0.945 0.410
0.250 0.055 0.590
0.750 0.555 0.410
0.750 0.750 0.903
0.250 0.250 0.097
```

Output
Total energy: -4.085 eV per atom
N(E_F): 0.00 states/eV/f.u.
Energy above the lowest structure with this stoichiometry: 0 meV per atom
Symmetry: Pmmn

=====

4.
This record from Alexandria describes crystalline Dy3PdAu2 at its relaxed geometry. The functional is PBE.

```
Dy3PdAu2
1.0
-3.110 -1.474 0.908
1.546 -1.526 2.820
-2.359 8.659 5.978
Pd Dy Au
1 3 2
Direct
0.500 0.500 0.500
0.000 0.000 0.000
0.000 0.000 0.661
0.000 0.000 0.339
0.500 0.500 0.831
0.500 0.500 0.169
```

Output
Formation enthalpy at 0 K: -0.868 eV/atom
Total energy: -5.127 eV per atom
N(E_F): 4.04 states/eV/f.u.
Symmetry: P4/mmm

=====

5.
This record from Alexandria describes crystalline Au3C at its relaxed geometry. The functional is PBE.

```
Au3C
1.0
7.280 0.001 0.000
-3.639 6.305 0.000
0.000 0.000 5.890
Au C
12 4
Direct
0.500 0.000 0.500
0.733 0.867 0.750
0.000 0.500 0.000
0.000 0.500 0.500
0.867 0.133 0.250
0.867 0.733 0.250
0.500 0.000 0.000
0.133 0.867 0.750
0.500 0.500 0.500
0.267 0.133 0.250
0.133 0.267 0.750
0.500 0.500 0.000
0.000 0.000 0.000
0.333 0.667 0.250
0.000 0.000 0.500
0.667 0.333 0.750
```

Output
Formation enthalpy at 0 K: 1.190 eV/atom
Total energy: -3.574 eV per atom
N(E_F): 1.75 states/eV/f.u.
Energy above the lowest structure with this stoichiometry: 631 meV per atom
Symmetry: P6_3/mmc

=====

6.
This record from Alexandria describes crystalline KSiP4 at its relaxed geometry. The functional is PBE.

```
KSiP4
1.0
0.000 3.986 3.986
3.986 0.000 3.986
3.986 3.986 0.000
P K Si
4 1 1
Direct
0.399 0.399 0.804
0.804 0.399 0.399
0.399 0.399 0.399
0.399 0.804 0.399
0.000 0.000 0.000
0.750 0.750 0.750
```

Output
Total energy: -4.258 eV per atom
N(E_F): 5.09 states/eV/f.u.
E_form (uncorrected): 0.43 eV/atom
Symmetry: F-43m

=====

7.
This record from Alexandria describes crystalline TaSbRu2Br at its relaxed geometry. The functional is PBE.

```
TaSbRu2Br
1.0
-4.423 0.586 1.870
-0.913 -4.764 -0.669
1.739 -0.953 4.412
Ru Sb Ta Br
2 1 1 1
Direct
0.500 0.000 0.000
0.000 0.000 0.500
0.500 0.500 0.500
0.000 0.000 0.000
0.000 0.500 0.000
```

Output
Total energy: -6.126 eV per atom
N(E_F): 4.10 states/eV/f.u.
E_form (uncorrected): 1.11 eV/atom
Symmetry: P4/mmm

=====

8.
This record from Alexandria describes crystalline KNaZrCl6 at its relaxed geometry. The functional is PBE.

```
KNaZrCl6
1.0
7.047 0.000 0.000
-3.523 6.102 0.000
0.000 0.000 13.315
Zr Na Cl K
2 2 12 2
Direct
0.333 0.667 0.750
0.667 0.333 0.250
0.333 0.667 0.250
0.667 0.333 0.750
0.964 0.350 0.142
0.036 0.386 0.642
0.386 0.350 0.358
0.650 0.614 0.142
0.650 0.036 0.358
0.350 0.964 0.642
0.350 0.386 0.858
0.614 0.964 0.858
0.036 0.650 0.858
0.614 0.650 0.642
0.964 0.614 0.358
0.386 0.036 0.142
0.000 0.000 0.000
0.000 0.000 0.500
```

Output
Total energy: -4.328 eV per atom
N(E_F): 0.00 states/eV/f.u.
E_form (uncorrected): -1.88 eV/atom
Symmetry: P-31c

=====

9.
This record from Alexandria describes crystalline SrZnSb4 at its relaxed geometry. The functional is PBE.

```
SrZnSb4
1.0
-4.344 -4.264 -1.851
-5.473 -0.559 3.196
-5.445 1.951 -2.650
Sb Sr Zn
4 1 1
Direct
0.374 0.879 0.374
0.374 0.374 0.879
0.879 0.374 0.374
0.374 0.374 0.374
0.750 0.750 0.750
0.000 0.000 0.000
```

Output
Total energy: -3.376 eV per atom
N(E_F): 1.17 states/eV/f.u.
E_form (uncorrected): -0.13 eV/atom
Symmetry: F-43m

=====

10.
This record from Alexandria describes crystalline MnCu5Pd4 at its relaxed geometry. The functional is PBE.

```
MnCu5Pd4
1.0
-3.298 1.394 -1.922
-4.368 -1.794 6.195
2.290 3.464 2.879
Cu Pd Mn
5 4 1
Direct
0.783 0.072 0.567
0.163 0.532 0.326
0.500 0.500 0.000
0.837 0.468 0.674
0.217 0.928 0.433
0.961 0.779 0.921
0.675 0.740 0.350
0.039 0.221 0.079
0.325 0.260 0.650
0.500 0.000 0.000
```

Output
Formation enthalpy at 0 K: 0.032 eV/atom
Total energy: -5.010 eV per atom
N(E_F): 4.23 states/eV/f.u.
Symmetry: C2/m

=====

11.
This record from Alexandria describes crystalline MnTl2Ge2 at its relaxed geometry. The functional is PBE.

```
MnTl2Ge2
1.0
-2.269 -2.972 -5.484
5.573 1.654 -3.203
2.205 -4.487 1.520
Ge Tl Mn
4 4 2
Direct
0.362 0.862 0.000
0.138 0.362 0.000
0.638 0.138 0.000
0.862 0.638 0.000
0.184 0.684 0.500
0.316 0.184 0.500
0.816 0.316 0.500
0.684 0.816 0.500
0.500 0.500 0.000
0.000 0.000 0.000
```

Output
Formation enthalpy at 0 K: 0.237 eV/atom
Total energy: -4.390 eV per atom
N(E_F): 2.23 states/eV/f.u.
Symmetry: P4/mbm

=====

12.
This record from Alexandria describes crystalline LaVZn2 at its relaxed geometry. The functional is PBE.

```
LaVZn2
1.0
-0.213 0.286 -4.573
0.719 -4.519 -0.316
-8.944 -3.604 -2.109
V Zn La
2 4 2
Direct
0.500 0.500 0.000
0.250 0.750 0.500
0.875 0.709 0.750
0.459 0.125 0.250
0.375 0.541 0.750
0.291 0.625 0.250
0.750 0.250 0.500
0.000 0.000 0.000
```

Output
Formation enthalpy at 0 K: 0.321 eV/atom
Total energy: -3.828 eV per atom
N(E_F): 2.53 states/eV/f.u.
Energy above the lowest structure with this stoichiometry: 241 meV per atom
Symmetry: I-42d